[1]
Here is a crystal of Nb2SbPH relaxed with PBEsol from the Alexandria database. Energies are from meta-GGA SCAN.

Values from the calculation:
total magnetic moment = 0.0 μB/f.u.
total energy = -116.89 eV per cell
ρ = 7.170 Mg/m³

```
data_Nb2SbPH
_chemical_formula_sum 'Nb2 Sb1 P1 H1'
_symmetry_space_group_name_H-M 'P 1'
_symmetry_Int_Tables_number 1
_symmetry_space_group_name_Hall 'P 1'
_cell_length_a 4.869
_cell_length_b 4.869
_cell_length_c 3.317
_cell_angle_alpha 90.00
_cell_angle_beta 90.00
_cell_angle_gamma 90.00
loop_
_atom_site_label
_atom_site_fract_x
_atom_site_fract_y
_atom_site_fract_z
Nb1 0.000 0.500 0.000
Nb2 0.500 0.000 0.000
Sb1 0.000 0.000 0.500
P1 0.500 0.500 0.000
H1 0.500 0.500 0.500
```

[2]
Here is a crystal of Nb3HPd relaxed with PBEsol from the Alexandria database. Energies are from meta-GGA SCAN.

Values from the calculation:
total magnetic moment = 0.0 μB/f.u.
total energy = -136.25 eV per cell
ρ = 9.186 Mg/m³

```
data_Nb3HPd
_chemical_formula_sum 'Nb3 H1 Pd1'
_symmetry_space_group_name_H-M 'P 1'
_symmetry_Int_Tables_number 1
_symmetry_space_group_name_Hall 'P 1'
_cell_length_a 4.117
_cell_length_b 4.117
_cell_length_c 4.117
_cell_angle_alpha 90.00
_cell_angle_beta 90.00
_cell_angle_gamma 90.00
loop_
_atom_site_label
_atom_site_fract_x
_atom_site_fract_y
_atom_site_fract_z
Nb1 0.000 0.000 0.500
Nb2 0.000 0.500 0.000
Nb3 0.500 0.000 0.000
H1 0.000 0.000 0.000
Pd1 0.500 0.500 0.500
```

[3]
Here is a crystal of NbH3Pt relaxed with PBEsol from the Alexandria database. Energies are from meta-GGA SCAN.

Values from the calculation:
total magnetic moment = 0.0 μB/f.u.
total energy = -113.28 eV per cell
ρ = 11.384 Mg/m³

```
data_NbH3Pt
_chemical_formula_sum 'Nb1 H3 Pt1'
_symmetry_space_group_name_H-M 'P 1'
_symmetry_Int_Tables_number 1
_symmetry_space_group_name_Hall 'P 1'
_cell_length_a 3.488
_cell_length_b 3.488
_cell_length_c 3.488
_cell_angle_alpha 90.00
_cell_angle_beta 90.00
_cell_angle_gamma 90.00
loop_
_atom_site_label
_atom_site_fract_x
_atom_site_fract_y
_atom_site_fract_z
Nb1 0.000 0.000 0.000
H1 0.000 0.500 0.500
H2 0.500 0.000 0.500
H3 0.500 0.500 0.000
Pt1 0.500 0.500 0.500
```

[4]
Here is a crystal of Nb3HPt relaxed with PBEsol from the Alexandria database. Energies are from meta-GGA SCAN.

Values from the calculation:
total magnetic moment = 0.0 μB/f.u.
total energy = -174.88 eV per cell
ρ = 11.324 Mg/m³

```
data_Nb3HPt
_chemical_formula_sum 'Nb3 H1 Pt1'
_symmetry_space_group_name_H-M 'P 1'
_symmetry_Int_Tables_number 1
_symmetry_space_group_name_Hall 'P 1'
_cell_length_a 4.114
_cell_length_b 4.114
_cell_length_c 4.114
_cell_angle_alpha 90.00
_cell_angle_beta 90.00
_cell_angle_gamma 90.00
loop_
_atom_site_label
_atom_site_fract_x
_atom_site_fract_y
_atom_site_fract_z
Nb1 0.000 0.000 0.500
Nb2 0.000 0.500 0.000
Nb3 0.500 0.000 0.000
H1 0.000 0.000 0.000
Pt1 0.500 0.500 0.500
```

[5]
Here is a crystal of Rb2NbH relaxed with PBEsol from the Alexandria database. Energies are from meta-GGA SCAN.

Values from the calculation:
total magnetic moment = 6.0 μB/f.u.
total energy = -73.10 eV per cell
ρ = 3.162 Mg/m³

```
data_Rb2NbH
_chemical_formula_sum 'Rb2 Nb1 H1'
_symmetry_space_group_name_H-M 'P 1'
_symmetry_Int_Tables_number 1
_symmetry_space_group_name_Hall 'P 1'
_cell_length_a 5.816
_cell_length_b 5.816
_cell_length_c 5.816
_cell_angle_alpha 60.00
_cell_angle_beta 60.00
_cell_angle_gamma 60.00
loop_
_atom_site_label
_atom_site_fract_x
_atom_site_fract_y
_atom_site_fract_z
Rb1 0.250 0.250 0.250
Rb2 0.750 0.750 0.750
Nb1 0.000 0.000 0.000
H1 0.500 0.500 0.500
```

[6]
Here is a crystal of Nb2ReH2 relaxed with PBEsol from the Alexandria database. Energies are from meta-GGA SCAN.

Values from the calculation:
total magnetic moment = 0.0 μB/f.u.
total energy = -145.54 eV per cell
ρ = 11.055 Mg/m³

```
data_Nb2ReH2
_chemical_formula_sum 'Nb2 Re1 H2'
_symmetry_space_group_name_H-M 'P 1'
_symmetry_Int_Tables_number 1
_symmetry_space_group_name_Hall 'P 1'
_cell_length_a 6.246
_cell_length_b 6.246
_cell_length_c 6.246
_cell_angle_alpha 151.27
_cell_angle_beta 151.27
_cell_angle_gamma 41.08
loop_
_atom_site_label
_atom_site_fract_x
_atom_site_fract_y
_atom_site_fract_z
Nb1 0.140 0.140 0.000
Nb2 0.860 0.860 0.000
Re1 0.500 0.500 0.000
H1 0.250 0.750 0.500
H2 0.750 0.250 0.500
```

[7]
Here is a crystal of NbZnHRh2 relaxed with PBEsol from the Alexandria database. Energies are from meta-GGA SCAN.

Values from the calculation:
total magnetic moment = 0.0 μB/f.u.
total energy = -115.04 eV per cell
ρ = 8.183 Mg/m³

```
data_NbZnHRh2
_chemical_formula_sum 'Nb1 Zn1 H1 Rh2'
_symmetry_space_group_name_H-M 'P 1'
_symmetry_Int_Tables_number 1
_symmetry_space_group_name_Hall 'P 1'
_cell_length_a 4.759
_cell_length_b 4.759
_cell_length_c 3.271
_cell_angle_alpha 90.00
_cell_angle_beta 90.00
_cell_angle_gamma 90.00
loop_
_atom_site_label
_atom_site_fract_x
_atom_site_fract_y
_atom_site_fract_z
Nb1 0.000 0.000 0.000
Zn1 0.500 0.500 0.500
H1 0.000 0.000 0.500
Rh1 0.000 0.500 0.000
Rh2 0.500 0.000 0.000
```

[8]
Here is a crystal of NbHRu3 relaxed with PBEsol from the Alexandria database. Energies are from meta-GGA SCAN.

Values from the calculation:
total magnetic moment = 0.0 μB/f.u.
total energy = -141.91 eV per cell
ρ = 11.162 Mg/m³

```
data_NbHRu3
_chemical_formula_sum 'Nb1 H1 Ru3'
_symmetry_space_group_name_H-M 'P 1'
_symmetry_Int_Tables_number 1
_symmetry_space_group_name_Hall 'P 1'
_cell_length_a 3.895
_cell_length_b 3.895
_cell_length_c 3.895
_cell_angle_alpha 90.00
_cell_angle_beta 90.00
_cell_angle_gamma 90.00
loop_
_atom_site_label
_atom_site_fract_x
_atom_site_fract_y
_atom_site_fract_z
Nb1 0.000 0.000 0.000
H1 0.500 0.500 0.500
Ru1 0.000 0.500 0.500
Ru2 0.500 0.000 0.500
Ru3 0.500 0.500 0.000
```

[9]
Here is a crystal of Nb2H2Ru relaxed with PBEsol from the Alexandria database. Energies are from meta-GGA SCAN.

Values from the calculation:
total magnetic moment = 0.0 μB/f.u.
total energy = -109.33 eV per cell
ρ = 8.845 Mg/m³

```
data_Nb2H2Ru
_chemical_formula_sum 'Nb2 H2 Ru1'
_symmetry_space_group_name_H-M 'P 1'
_symmetry_Int_Tables_number 1
_symmetry_space_group_name_Hall 'P 1'
_cell_length_a 6.513
_cell_length_b 6.513
_cell_length_c 6.513
_cell_angle_alpha 153.68
_cell_angle_beta 153.68
_cell_angle_gamma 37.56
loop_
_atom_site_label
_atom_site_fract_x
_atom_site_fract_y
_atom_site_fract_z
Nb1 0.142 0.142 0.000
Nb2 0.858 0.858 0.000
H1 0.250 0.750 0.500
H2 0.750 0.250 0.500
Ru1 0.500 0.500 0.000
```

[10]
Here is a crystal of SrNbHRu2 relaxed with PBEsol from the Alexandria database. Energies are from meta-GGA SCAN.

Values from the calculation:
total magnetic moment = 0.0 μB/f.u.
total energy = -112.23 eV per cell
ρ = 5.493 Mg/m³

```
data_SrNbHRu2
_chemical_formula_sum 'Sr1 Nb1 H1 Ru2'
_symmetry_space_group_name_H-M 'P 1'
_symmetry_Int_Tables_number 1
_symmetry_space_group_name_Hall 'P 1'
_cell_length_a 4.741
_cell_length_b 4.741
_cell_length_c 5.159
_cell_angle_alpha 90.00
_cell_angle_beta 90.00
_cell_angle_gamma 90.00
loop_
_atom_site_label
_atom_site_fract_x
_atom_site_fract_y
_atom_site_fract_z
Sr1 0.000 0.000 0.000
Nb1 0.000 0.000 0.500
H1 0.500 0.500 0.500
Ru1 0.000 0.500 0.000
Ru2 0.500 0.000 0.000
```

[11]
Here is a crystal of ZrNbH2Ru relaxed with PBEsol from the Alexandria database. Energies are from meta-GGA SCAN.

Values from the calculation:
total magnetic moment = 0.0 μB/f.u.
total energy = -102.30 eV per cell
ρ = 6.715 Mg/m³

```
data_ZrNbH2Ru
_chemical_formula_sum 'Zr1 Nb1 H2 Ru1'
_symmetry_space_group_name_H-M 'P 1'
_symmetry_Int_Tables_number 1
_symmetry_space_group_name_Hall 'P 1'
_cell_length_a 3.601
_cell_length_b 3.601
_cell_length_c 5.478
_cell_angle_alpha 90.00
_cell_angle_beta 90.00
_cell_angle_gamma 90.00
loop_
_atom_site_label
_atom_site_fract_x
_atom_site_fract_y
_atom_site_fract_z
Zr1 0.000 0.000 0.000
Nb1 0.000 0.000 0.500
H1 0.000 0.500 0.500
H2 0.500 0.000 0.500
Ru1 0.500 0.500 0.000
```

[12]
Here is a crystal of NbHS2 relaxed with PBEsol from the Alexandria database. Energies are from meta-GGA SCAN.

Values from the calculation:
total magnetic moment = 0.2 μB/f.u.
total energy = -55.63 eV per cell
ρ = 4.946 Mg/m³

```
data_NbHS2
_chemical_formula_sum 'Nb1 H1 S2'
_symmetry_space_group_name_H-M 'P 1'
_symmetry_Int_Tables_number 1
_symmetry_space_group_name_Hall 'P 1'
_cell_length_a 4.218
_cell_length_b 4.218
_cell_length_c 4.218
_cell_angle_alpha 60.00
_cell_angle_beta 60.00
_cell_angle_gamma 60.00
loop_
_atom_site_label
_atom_site_fract_x
_atom_site_fract_y
_atom_site_fract_z
Nb1 0.000 0.000 0.000
H1 0.500 0.500 0.500
S1 0.250 0.250 0.250
S2 0.750 0.750 0.750
```